Version a
A plane-wave DFT calculation with PBE-GGA was carried out for crystalline CoRe2Mo at its relaxed geometry.

Unit cell a=3.817 b=3.818 c=3.865 alpha=90.00 beta=90.00 gamma=90.00
Atoms (fractional coordinates):
Re 0.000 0.000 0.000
Re 0.500 0.500 0.000
Mo 0.000 0.500 0.500
Co 0.500 0.000 0.500

Summary:
- D(E_F): 0.80 states/eV/atom
- SG: No. 123

Version b
A plane-wave DFT calculation with PBE-GGA was carried out for crystalline CoRe2Mo at its relaxed geometry.

Unit cell a=2.654 b=2.654 c=8.264 alpha=90.00 beta=90.00 gamma=103.02
Site moments in Bohr magnetons follow the coordinates.
Atoms (fractional coordinates):
Co 0.500 0.500 0.250  0.38
Mo 0.500 0.500 0.750  -0.01
Re 0.000 0.000 0.021  0.01
Re 0.000 0.000 0.479  0.01

Summary:
- D(E_F): 0.92 states/eV/atom
- SG: No. 65

Quick look at relative energies in meV per atom: version a 0; version b 94.